Compound: HfGa2Hg
Source: OQMD via LeMat-Bulk
Functional: GGA-PBE
Structure: relaxed

Geometry as POSCAR:
```
HfGa2Hg
1.0
3.643 -3.097 -0.700
-0.922 -4.558 -1.312
1.077 -1.493 -4.468
Hg Ga Hf
1 2 1
Direct
0.250 0.250 0.250
0.000 0.000 0.000
0.750 0.750 0.750
0.500 0.500 0.500
```

Computed properties:
For the final energy, the calculation gives -3.926 eV per atom.